AsOsCl2 | SCAN | single point on PBEsol structure

Cell lengths 4.092, 4.092, 3.868 Å; angles 90.00, 90.00, 90.00 degrees
Space group P4/mmm (No. 123)
One atom of each set of equivalent atoms:
1 As 0.000 0.000 0.000 x1
2 Os 0.500 0.500 0.000 x1
3 Cl 0.000 0.500 0.500 x2

As for the formation energy (no corrections): 1.41 eV per atom. Its size of the total moment is 0.00 μB/atom. Its energy above the most stable polymorph in this dataset is 1282 meV per atom. Its density of states at the Fermi level is 2.891 states/eV/f.u.



LaPdSe2Cl | SCAN | single point on PBEsol structure

Cell lengths 4.787, 4.787, 5.601 Å; angles 90.00, 90.00, 90.00 degrees
Space group P4/mmm (No. 123)
One atom of each set of equivalent atoms:
1 La 0.000 0.000 0.000 x1
2 Pd 0.000 0.000 0.500 x1
3 Se 0.000 0.500 0.500 x2
4 Cl 0.500 0.500 0.000 x1

As for the formation energy (no corrections): -0.88 eV per atom. Its size of the total moment is 0.00 μB/atom. Its density of states at the Fermi level is 2.695 states/eV/f.u.



HfAl3Ni12 | SCAN | single point on PBEsol structure

Cell lengths 3.571, 3.571, 14.095 Å; angles 90.00, 90.00, 90.00 degrees
Space group P4/mmm (No. 123)
One atom of each set of equivalent atoms:
1 Hf 0.000 0.000 0.000 x1
2 Al 0.000 0.000 0.256 x2
3 Al 0.000 0.000 0.500 x1
4 Ni 0.000 0.500 0.134 x4
5 Ni 0.000 0.500 0.378 x4
6 Ni 0.500 0.500 0.000 x1
7 Ni 0.500 0.500 0.256 x2
8 Ni 0.500 0.500 0.500 x1

Its size of the total moment is 0.16 μB/atom. The formation energy is -498 meV/atom. Its density of states at the Fermi level is 7.644 states/eV/f.u.



NbCr3 | SCAN | single point on PBEsol structure

Cell lengths 5.890, 5.890, 5.890 Å; angles 90.00, 90.00, 90.00 degrees
Space group Fm-3m (No. 225)
One atom of each set of equivalent atoms:
1 Nb 0.000 0.000 0.000 x4
2 Cr 0.000 0.000 0.500 x4
3 Cr 0.250 0.250 0.250 x8

Its size of the total moment is 0.12 μB/atom. The formation energy is 37 meV/atom. Its density of states at the Fermi level is 2.092 states/eV/f.u.